(w)
ErB2: optimized geometry, PBE.

Cell: 3.5282 3.5282 11.4573 Å, 90.00 90.00 90.00°
Space group I4_1/amd (No. 141, origin choice 2)
Inequivalent atoms, fractional coordinates:
Er1 0.0000 0.2500 0.3750 [4 per cell]
B1 0.0000 0.2500 0.7960 [8 per cell]

## Properties
Total magnetization, μB per cell: 0.00

***

(x)
ErB2: optimized geometry, PBE.

Cell: 3.2715 3.2715 3.8062 Å, 90.00 90.00 120.00°
Space group P6/mmm (No. 191)
Inequivalent atoms, fractional coordinates:
Er1 0.0000 0.0000 0.0000 [1 per cell]
B1 0.3333 0.6667 0.5000 [2 per cell]

## Properties
Total magnetization, μB per cell: 0.00

***

Most stable of them? (x).

***

(w)
ErFeB2: optimized geometry, PBE.

Cell: 5.8076 3.5937 5.0390 Å, 90.00 114.98 90.00°
Space group C2/m (No. 12)
Inequivalent atoms, fractional coordinates:
Er1 0.0000 0.0000 0.0000 [2 per cell]
Fe1 0.0000 0.5000 0.5000 [2 per cell]
B1 0.1798 0.0000 0.5887 [4 per cell]

## Properties
Total magnetization, μB per cell: 0.00

***

(x)
ErFeB2: optimized geometry, PBE.

Cell: 5.7833 3.4581 9.1971 Å, 90.00 90.00 90.00°
Space group Pnma (No. 62)
Inequivalent atoms, fractional coordinates:
Er1 0.1160 0.2500 0.1366 [4 per cell]
Fe1 0.1127 0.2500 0.4385 [4 per cell]
B1 0.0317 0.2500 0.6635 [4 per cell]
B2 0.2301 0.2500 0.8341 [4 per cell]

## Properties
Total magnetization, μB per cell: 1.00

***

Most stable of them? (x).

***

(w)
ErFe3B3: optimized geometry, PBE.

Cell: 7.6181 7.6181 3.0390 Å, 90.00 90.00 120.00°
Space group P6_3/m (No. 176)
Inequivalent atoms, fractional coordinates:
Er1 0.3333 0.6667 0.2500 [2 per cell]
Fe1 0.0709 0.3074 0.7500 [6 per cell]
B1 0.0364 0.5817 0.7500 [6 per cell]

## Properties
Total magnetization, μB per cell: 9.51

***

(x)
ErFe3B3: optimized geometry, PBE.

Cell: 5.4821 5.4821 5.4821 Å, 90.00 90.00 90.00°
Space group Pm-3n (No. 223)
Inequivalent atoms, fractional coordinates:
Er1 0.0000 0.0000 0.0000 [2 per cell]
Fe1 0.0000 0.2500 0.5000 [6 per cell]
B1 0.0000 0.5000 0.2500 [6 per cell]

## Properties
Total magnetization, μB per cell: 5.32

***

Most stable of them? (w).

***

(w)
ErGeB: optimized geometry, PBE.

Cell: 3.6076 3.6076 4.2262 Å, 90.00 90.00 120.00°
Space group P3m1 (No. 156)
Inequivalent atoms, fractional coordinates:
Er1 0.0000 0.0000 0.0000 [1 per cell]
Ge1 0.6667 0.3333 0.5160 [1 per cell]
B1 0.3333 0.6667 0.3964 [1 per cell]

## Properties
Total magnetization, μB per cell: 0.00

***

(x)
ErGeB: optimized geometry, PBE.

Cell: 5.4797 5.6212 6.8865 Å, 90.00 93.88 90.00°
Space group C2/m (No. 12)
Inequivalent atoms, fractional coordinates:
Er1 0.1496 0.0000 0.2149 [4 per cell]
Ge1 0.1736 0.5000 0.3829 [4 per cell]
B1 0.1023 0.5000 0.0943 [4 per cell]

## Properties
Total magnetization, μB per cell: 0.00

***

Most stable of them? (w).

***

(w)
ErBH: optimized geometry, PBE.

Cell: 3.6109 12.0235 3.2508 Å, 90.00 90.00 90.00°
Space group Cmcm (No. 63)
Inequivalent atoms, fractional coordinates:
Er1 0.0000 0.1347 0.2500 [4 per cell]
B1 0.0000 0.4767 0.2500 [4 per cell]
H1 0.0000 0.2539 0.7500 [4 per cell]

## Properties
Total magnetization, μB per cell: 0.00

***

(x)
ErBH: optimized geometry, PBE.

Cell: 3.2732 6.9776 6.4899 Å, 90.00 90.00 90.00°
Space group Imma (No. 74)
Inequivalent atoms, fractional coordinates:
Er1 0.0000 0.0000 0.0000 [4 per cell]
B1 0.0000 0.2500 0.3026 [4 per cell]
H1 0.0000 0.2500 0.5053 [4 per cell]

## Properties
Total magnetization, μB per cell: 0.00

***

Most stable of them? (w).

***

(w)
Er4BI5: optimized geometry, PBE.

Cell: 19.0154 4.0218 8.5829 Å, 90.00 102.51 90.00°
Space group C2/m (No. 12)
Inequivalent atoms, fractional coordinates:
Er1 0.0007 0.0000 0.3071 [4 per cell]
Er2 0.1333 0.5000 0.5673 [4 per cell]
B1 0.0000 0.5000 0.5000 [2 per cell]
I1 0.0000 0.5000 0.0000 [2 per cell]
I2 0.1646 0.0000 0.8397 [4 per cell]
I3 0.1705 0.0000 0.3264 [4 per cell]

## Properties
Total magnetization, μB per cell: 0.00

***

(x)
Er4BI5: optimized geometry, PBE.

Cell: 21.3947 4.0163 8.5157 Å, 90.00 90.25 90.00°
Space group C2/m (No. 12)
Inequivalent atoms, fractional coordinates:
Er1 0.9999 0.0000 0.1948 [4 per cell]
Er2 0.1143 0.5000 0.0015 [4 per cell]
B1 0.0000 0.5000 0.0000 [2 per cell]
I1 0.0000 0.5000 0.5000 [2 per cell]
I2 0.1479 0.0000 0.2572 [4 per cell]
I3 0.1482 0.0000 0.7466 [4 per cell]

## Properties
Total magnetization, μB per cell: 0.01

***

Most stable of them? (w).

***

(w)
ErB3Ir3: optimized geometry, PBE.

Cell: 5.8670 5.8670 5.8670 Å, 90.00 90.00 90.00°
Space group Pm-3n (No. 223)
Inequivalent atoms, fractional coordinates:
Er1 0.0000 0.0000 0.0000 [2 per cell]
B1 0.0000 0.2500 0.5000 [6 per cell]
Ir1 0.0000 0.5000 0.2500 [6 per cell]

## Properties
Total magnetization, μB per cell: 0.00

***

(x)
ErB3Ir3: optimized geometry, PBE.

Cell: 7.4477 7.4477 7.4477 Å, 90.00 90.00 90.00°
Space group P2_13 (No. 198)
Inequivalent atoms, fractional coordinates:
Er1 0.0022 0.4978 0.5022 [4 per cell]
B1 0.0083 0.8062 0.6841 [12 per cell]
Ir1 0.0499 0.9501 0.4501 [4 per cell]
Ir2 0.2294 0.2294 0.2294 [4 per cell]
Ir3 0.2454 0.2546 0.7454 [4 per cell]

## Properties
Total magnetization, μB per cell: 0.00

***

Most stable of them? (w).

***

(w)
ErBIr: optimized geometry, PBE.

Cell: 3.6466 6.3425 8.4853 Å, 90.00 90.00 90.00°
Space group Cmcm (No. 63)
Inequivalent atoms, fractional coordinates:
Er1 0.0000 0.0000 0.0000 [4 per cell]
B1 0.0000 0.3340 0.2500 [4 per cell]
Ir1 0.0000 0.3330 0.7500 [4 per cell]

## Properties
Total magnetization, μB per cell: 0.00

***

(x)
ErBIr: optimized geometry, PBE.

Cell: 3.6890 3.6890 4.1696 Å, 90.00 90.00 120.00°
Space group P-6m2 (No. 187)
Inequivalent atoms, fractional coordinates:
Er1 0.0000 0.0000 0.0000 [1 per cell]
B1 0.6667 0.3333 0.5000 [1 per cell]
Ir1 0.3333 0.6667 0.5000 [1 per cell]

## Properties
Total magnetization, μB per cell: 0.00

***

(y)
ErBIr: optimized geometry, PBE.

Cell: 11.5129 3.3850 5.0487 Å, 90.00 107.67 90.00°
Space group C2/m (No. 12)
Inequivalent atoms, fractional coordinates:
Er1 0.1189 0.0000 0.3004 [4 per cell]
B1 0.2280 0.0000 0.8743 [4 per cell]
Ir1 0.1090 0.5000 0.7701 [4 per cell]

## Properties
Total magnetization, μB per cell: 0.00

***

(z)
ErBIr: optimized geometry, PBE.

Cell: 2.9335 2.9335 10.2497 Å, 90.00 90.00 90.00°
Space group I4mm (No. 107)
Inequivalent atoms, fractional coordinates:
Er1 0.0000 0.0000 0.0000 [2 per cell]
B1 0.0000 0.0000 0.3109 [2 per cell]
Ir1 0.0000 0.0000 0.7205 [2 per cell]

## Properties
Total magnetization, μB per cell: 0.00

***

Most stable of them? (w).